## Cs2K4Zn (PBE-GGA)

Data for a relaxed structure of Cs2K4Zn.

## Properties
Calculated volume ... 73.65 Å³ per atom
SG ... I4/mcm
D(E_F) ... 0.9073 states/eV/atom
ΔH_f (0 K) ... 0.06 eV per atom
Total magnetization ... 0.00 Bohr magnetons per cell

Lattice parameters (Å, degrees): 7.571 12.269 12.269 84.54 72.03 72.03
Fractional positions:
Cs1 0.380 0.740 0.500
Cs2 0.120 0.500 0.260
Cs3 0.620 0.260 0.500
Cs4 0.880 0.500 0.740
K1 0.827 0.256 0.090
K2 0.173 0.744 0.910
K3 0.917 0.910 0.256
K4 0.417 0.256 0.910
K5 0.673 0.910 0.744
K6 0.083 0.090 0.744
K7 0.583 0.744 0.090
K8 0.327 0.090 0.256
Zn1 0.750 0.000 0.000
Zn2 0.250 0.000 0.000